The following is a PBE with a Hubbard U calculation of a relaxed structure of PmMn3Ni4O12, from the Alexandria database.

The space group is Im-3 (No. 204) and the conventional cell measures 7.390, 7.390 and 7.390 Å, with angles of 90.00, 90.00 and 90.00 degrees. The inequivalent atoms are Pm at (0.000, 0.000, 0.000), Mn at (0.000, 0.000, 0.500), Ni at (0.250, 0.250, 0.250) and O at (0.000, 0.306, 0.178).

The value obtained for the raw total energy is -249.66 eV per cell. Its density of states at the Fermi level is 3.5 states/eV/f.u.